! PmPr6Sn, optimized geometry, DFT PBE-GGA; values from VASP
! Theoretical density, g cm⁻³: 6.87
! Calculated total energy, eV/cell: -39.0
! Formation energy, eV per atom: -0.196
&SYSTEM
  ibrav = 0, nat = 8, ntyp = 3
/
ATOMIC_SPECIES
Pr 140.91 Pr.upf
Sn 118.71 Sn.upf
Pm 145.00 Pm.upf
CELL_PARAMETERS angstrom
-0.961 -0.348 -4.950
4.961 0.026 -0.965
0.190 -10.470 0.699
ATOMIC_POSITIONS crystal
Pr 0.000 0.500 0.239
Pr 0.500 0.000 0.761
Pr 0.500 0.500 0.500
Pr 0.500 0.500 0.000
Pr 0.500 0.000 0.239
Pr 0.000 0.500 0.761
Sn 0.000 0.000 0.000
Pm 0.000 0.000 0.500



! CePm3Ag2, optimized geometry, DFT PBE-GGA; values from VASP
! Theoretical density, g cm⁻³: 7.90
! Calculated total energy, eV/cell: -26.7
! Formation energy, eV per atom: -0.137
&SYSTEM
  ibrav = 0, nat = 6, ntyp = 3
/
ATOMIC_SPECIES
Pm 145.00 Pm.upf
Ce 140.12 Ce.upf
Ag 107.87 Ag.upf
CELL_PARAMETERS angstrom
3.679 0.000 0.000
0.000 3.679 0.000
0.000 0.000 12.285
ATOMIC_POSITIONS crystal
Pm 0.000 0.000 0.691
Pm 0.000 0.000 0.000
Pm 0.000 0.000 0.309
Ce 0.500 0.500 0.500
Ag 0.500 0.500 0.154
Ag 0.500 0.500 0.846



! Tb4Ga12Mo, optimized geometry, DFT PBE-GGA; values from VASP
! Theoretical density, g cm⁻³: 7.96
! Calculated total energy, eV/cell: -74.5
! Formation energy, eV per atom: -0.518
&SYSTEM
  ibrav = 0, nat = 17, ntyp = 3
/
ATOMIC_SPECIES
Ga 69.72 Ga.upf
Tb 158.93 Tb.upf
Mo 95.94 Mo.upf
CELL_PARAMETERS angstrom
-0.647 -1.492 -7.342
5.251 -4.461 3.011
-6.591 -1.239 3.400
ATOMIC_POSITIONS crystal
Ga 0.500 0.250 0.750
Ga 0.000 0.706 0.706
Ga 0.706 0.706 0.000
Ga 0.706 0.000 0.706
Ga 0.000 0.294 0.294
Ga 0.250 0.750 0.500
Ga 0.294 0.294 0.000
Ga 0.750 0.500 0.250
Ga 0.750 0.250 0.500
Ga 0.294 0.000 0.294
Ga 0.500 0.750 0.250
Ga 0.250 0.500 0.750
Tb 0.500 0.500 0.500
Tb 0.500 0.000 0.000
Tb 0.000 0.000 0.500
Tb 0.000 0.500 0.000
Mo 0.000 0.000 0.000



Question: What is the formula in the third record?
Answer: Tb4Ga12Mo



Question: Which value of calculated total energy does entry 2 give?
Answer: -26.7 eV/cell



Question: The lowest calculated total energy belongs to which entry?
Answer: Tb4Ga12Mo



Question: Which formula does entry 3 have?
Answer: Tb4Ga12Mo